# 1
# TlCuSeS, optimized geometry, DFT PBE
# raw total energy = -3.657 eV/atom
# calculated volume = 196.7 Å³ per cell
# crystal system = monoclinic
data_TlCuSeS
_chemical_formula_sum 'Tl2 Cu2 Se2 S2'
_cell_length_a 5.8066
_cell_length_b 5.8066
_cell_length_c 7.1159
_cell_angle_alpha 113.87
_cell_angle_beta 113.87
_cell_angle_gamma 90.04
_space_group_name_H-M_alt 'P 1'
_space_group_IT_number 1
_space_group_name_Hall 'P 1'
loop_
_atom_site_label
_atom_site_fract_x
_atom_site_fract_y
_atom_site_fract_z
Tl1 0.1304 0.8696 0.5000
Tl2 0.8696 0.1304 0.0000
Cu1 0.3699 0.5945 0.0000
Cu2 0.5945 0.3699 0.5000
Se1 0.6938 0.9912 0.2497
Se2 0.9912 0.6938 0.7497
S1 0.2896 0.4917 0.2505
S2 0.4917 0.2896 0.7505

# 2
# Tl2Cu2SeS3, optimized geometry, DFT PBE
# raw total energy = -3.733 eV/atom
# calculated volume = 189.2 Å³ per cell
# crystal system = monoclinic
data_Tl2Cu2SeS3
_chemical_formula_sum 'Tl2 Cu2 Se1 S3'
_cell_length_a 7.0388
_cell_length_b 7.0388
_cell_length_c 5.7314
_cell_angle_alpha 113.95
_cell_angle_beta 113.95
_cell_angle_gamma 48.06
_space_group_name_H-M_alt 'P 1'
_space_group_IT_number 1
_space_group_name_Hall 'P 1'
loop_
_atom_site_label
_atom_site_fract_x
_atom_site_fract_y
_atom_site_fract_z
Tl1 0.1262 0.1262 0.3713
Tl2 0.8738 0.8738 0.6288
Cu1 0.3499 0.3867 0.1043
Cu2 0.6133 0.6501 0.8957
Se1 0.6912 0.3088 0.5000
S1 0.2924 0.7076 0.0000
S2 0.4926 0.0079 0.7955
S3 0.9921 0.5074 0.2045

# 3
# TlCuSeS, optimized geometry, DFT PBE
# raw total energy = -3.656 eV/atom
# calculated volume = 196.9 Å³ per cell
# crystal system = orthorhombic
data_TlCuSeS
_chemical_formula_sum 'Tl2 Cu2 Se2 S2'
_cell_length_a 7.1481
_cell_length_b 7.1481
_cell_length_c 7.1481
_cell_angle_alpha 132.15
_cell_angle_beta 132.11
_cell_angle_gamma 70.02
_space_group_name_H-M_alt 'P 1'
_space_group_IT_number 1
_space_group_name_Hall 'P 1'
loop_
_atom_site_label
_atom_site_fract_x
_atom_site_fract_y
_atom_site_fract_z
Tl1 0.1227 0.3727 0.7500
Tl2 0.3773 0.1273 0.2500
Cu1 0.6109 0.8609 0.7500
Cu2 0.8891 0.6391 0.2500
Se1 0.5542 0.7500 0.3042
Se2 0.9458 0.2500 0.1958
S1 0.2500 0.9570 0.7070
S2 0.7500 0.5430 0.7930

# 4
# Tl2Cu2Se3S, optimized geometry, DFT PBE
# raw total energy = -3.581 eV/atom
# calculated volume = 204.8 Å³ per cell
# crystal system = monoclinic
data_Tl2Cu2Se3S
_chemical_formula_sum 'Tl2 Cu2 Se3 S1'
_cell_length_a 7.2299
_cell_length_b 7.2299
_cell_length_c 5.8814
_cell_angle_alpha 113.88
_cell_angle_beta 113.88
_cell_angle_gamma 48.00
_space_group_name_H-M_alt 'P 1'
_space_group_IT_number 1
_space_group_name_Hall 'P 1'
loop_
_atom_site_label
_atom_site_fract_x
_atom_site_fract_y
_atom_site_fract_z
Tl1 0.1233 0.1233 0.3679
Tl2 0.8767 0.8767 0.6321
Cu1 0.3990 0.3630 0.1177
Cu2 0.6370 0.6010 0.8823
Se1 0.0083 0.4921 0.7997
Se2 0.3042 0.6958 0.5000
Se3 0.5079 0.9917 0.2003
S1 0.7122 0.2878 0.0000

# 5
# TlCuWSe2S, optimized geometry, DFT PBE
# raw total energy = -5.225 eV/atom
# calculated volume = 252.1 Å³ per cell
# crystal system = orthorhombic
data_TlCuWSe2S
_chemical_formula_sum 'Tl2 Cu2 W2 Se4 S2'
_cell_length_a 7.7462
_cell_length_b 7.7462
_cell_length_c 9.4428
_cell_angle_alpha 90.00
_cell_angle_beta 90.00
_cell_angle_gamma 153.58
_space_group_name_H-M_alt 'P 1'
_space_group_IT_number 1
_space_group_name_Hall 'P 1'
loop_
_atom_site_label
_atom_site_fract_x
_atom_site_fract_y
_atom_site_fract_z
Tl1 0.2395 0.7605 0.7500
Tl2 0.7605 0.2395 0.2500
Cu1 0.0341 0.9659 0.2500
Cu2 0.9659 0.0341 0.7500
W1 0.5000 0.5000 0.0000
W2 0.5000 0.5000 0.5000
Se1 0.1243 0.8757 0.0419
Se2 0.1243 0.8757 0.4581
Se3 0.8757 0.1243 0.5419
Se4 0.8757 0.1243 0.9581
S1 0.4396 0.5604 0.2500
S2 0.5604 0.4396 0.7500

# 6
# TlCuWSeS2, optimized geometry, DFT PBE
# raw total energy = -5.375 eV/atom
# calculated volume = 250.1 Å³ per cell
# crystal system = orthorhombic
data_TlCuWSeS2
_chemical_formula_sum 'Tl2 Cu2 W2 Se2 S4'
_cell_length_a 7.8191
_cell_length_b 7.8191
_cell_length_c 9.6154
_cell_angle_alpha 90.00
_cell_angle_beta 90.00
_cell_angle_gamma 154.82
_space_group_name_H-M_alt 'P 1'
_space_group_IT_number 1
_space_group_name_Hall 'P 1'
loop_
_atom_site_label
_atom_site_fract_x
_atom_site_fract_y
_atom_site_fract_z
Tl1 0.2475 0.7525 0.7500
Tl2 0.7525 0.2475 0.2500
Cu1 0.4551 0.5449 0.2500
Cu2 0.5449 0.4551 0.7500
W1 0.0000 0.0000 0.0000
W2 0.0000 0.0000 0.5000
Se1 0.0721 0.9279 0.2500
Se2 0.9279 0.0721 0.7500
S1 0.3869 0.6131 0.0436
S2 0.3869 0.6131 0.4564
S3 0.6131 0.3869 0.5436
S4 0.6131 0.3869 0.9564

# 7
# ZrTlCuSe2S, optimized geometry, DFT PBE
# raw total energy = -5.206 eV/atom
# calculated volume = 280.0 Å³ per cell
# crystal system = orthorhombic
data_ZrTlCuSe2S
_chemical_formula_sum 'Zr2 Tl2 Cu2 Se4 S2'
_cell_length_a 7.5684
_cell_length_b 7.5684
_cell_length_c 9.9300
_cell_angle_alpha 90.00
_cell_angle_beta 90.00
_cell_angle_gamma 150.51
_space_group_name_H-M_alt 'P 1'
_space_group_IT_number 1
_space_group_name_Hall 'P 1'
loop_
_atom_site_label
_atom_site_fract_x
_atom_site_fract_y
_atom_site_fract_z
Zr1 0.0000 0.0000 0.0000
Zr2 0.0000 0.0000 0.5000
Tl1 0.2586 0.7414 0.7500
Tl2 0.7414 0.2586 0.2500
Cu1 0.4678 0.5322 0.2500
Cu2 0.5322 0.4678 0.7500
Se1 0.3713 0.6287 0.0495
Se2 0.3713 0.6287 0.4505
Se3 0.6287 0.3713 0.5495
Se4 0.6287 0.3713 0.9505
S1 0.0582 0.9418 0.2500
S2 0.9418 0.0582 0.7500

# 8
# ZrTlCuSeS2, optimized geometry, DFT PBE
# raw total energy = -5.335 eV/atom
# calculated volume = 277.2 Å³ per cell
# crystal system = orthorhombic
data_ZrTlCuSeS2
_chemical_formula_sum 'Zr2 Tl2 Cu2 Se2 S4'
_cell_length_a 7.5332
_cell_length_b 7.5332
_cell_length_c 10.0773
_cell_angle_alpha 90.00
_cell_angle_beta 90.00
_cell_angle_gamma 151.00
_space_group_name_H-M_alt 'P 1'
_space_group_IT_number 1
_space_group_name_Hall 'P 1'
loop_
_atom_site_label
_atom_site_fract_x
_atom_site_fract_y
_atom_site_fract_z
Zr1 0.0000 0.0000 0.0000
Zr2 0.0000 0.0000 0.5000
Tl1 0.2416 0.7584 0.7500
Tl2 0.7584 0.2416 0.2500
Cu1 0.4633 0.5367 0.2500
Cu2 0.5367 0.4633 0.7500
Se1 0.0732 0.9268 0.2500
Se2 0.9268 0.0732 0.7500
S1 0.3821 0.6179 0.0550
S2 0.3821 0.6179 0.4450
S3 0.6179 0.3821 0.5550
S4 0.6179 0.3821 0.9450

The highest raw total energy belongs to which entry?
Tl2Cu2Se3S

raw total energy of number 3 (TlCuSeS)?
-3.656 eV/atom